# SmCd2, optimized geometry, DFT PBEsol
# Density (kg/m³): 8804
# Energy (eV per atom): -2.87
# Formation energy from the elements (eV/atom): -0.370
# Magnetic moment (μB/cell): 0.00
# DOS(E_F) (states/eV/atom): 0.7015
data_SmCd2
_cell_length_a 4.9632
_cell_length_b 4.9632
_cell_length_c 3.3169
_cell_angle_alpha 90.00
_cell_angle_beta 90.00
_cell_angle_gamma 120.00
_space_group_name_H-M_alt 'P 6/m m m'
_space_group_IT_number 191
_space_group_name_Hall '-P 6 2'
loop_
_atom_site_label
_atom_site_type_symbol
_atom_site_fract_x
_atom_site_fract_y
_atom_site_fract_z
Sm1 Sm 0.0000 0.0000 0.0000
Cd1 Cd 0.3333 0.6667 0.5000

=====

# SmCd11, optimized geometry, DFT PBEsol
# Density (kg/m³): 8893
# Energy (eV per atom): -1.68
# Formation energy from the elements (eV/atom): -0.158
# Magnetic moment (μB/cell): 0.00
# DOS(E_F) (states/eV/atom): 0.2907
data_SmCd11
_cell_length_a 9.193
_cell_length_b 9.193
_cell_length_c 9.193
_cell_angle_alpha 90.00
_cell_angle_beta 90.00
_cell_angle_gamma 90.00
_space_group_name_H-M_alt 'P m -3 m'
_space_group_IT_number 221
_space_group_name_Hall '-P 4 2 3'
loop_
_atom_site_label
_atom_site_type_symbol
_atom_site_fract_x
_atom_site_fract_y
_atom_site_fract_z
Sm1 Sm 0.000 0.000 0.500
Cd1 Cd 0.000 0.345 0.345
Cd2 Cd 0.157 0.157 0.157
Cd3 Cd 0.266 0.266 0.500
Cd4 Cd 0.500 0.500 0.500

=====

# Sm2TlCd, optimized geometry, DFT PBEsol
# Density (kg/m³): 9603
# Energy (eV per atom): -3.90
# Formation energy from the elements (eV/atom): -0.401
# Magnetic moment (μB/cell): 0.06
# DOS(E_F) (states/eV/atom): 1.3279
data_Sm2TlCd
_cell_length_a 7.531
_cell_length_b 7.531
_cell_length_c 7.531
_cell_angle_alpha 90.00
_cell_angle_beta 90.00
_cell_angle_gamma 90.00
_space_group_name_H-M_alt 'F m -3 m'
_space_group_IT_number 225
_space_group_name_Hall '-F 4 2 3'
loop_
_atom_site_label
_atom_site_type_symbol
_atom_site_fract_x
_atom_site_fract_y
_atom_site_fract_z
Sm1 Sm 0.250 0.250 0.250
Tl1 Tl 0.000 0.000 0.000
Cd1 Cd 0.000 0.000 0.500

=====

# SmZn2Cd, optimized geometry, DFT PBEsol
# Density (kg/m³): 8488
# Energy (eV per atom): -2.71
# Formation energy from the elements (eV/atom): -0.342
# Magnetic moment (μB/cell): 0.00
# DOS(E_F) (states/eV/atom): 0.3106
data_SmZn2Cd
_cell_length_a 6.753
_cell_length_b 6.753
_cell_length_c 6.753
_cell_angle_alpha 90.00
_cell_angle_beta 90.00
_cell_angle_gamma 90.00
_space_group_name_H-M_alt 'F m -3 m'
_space_group_IT_number 225
_space_group_name_Hall '-F 4 2 3'
loop_
_atom_site_label
_atom_site_type_symbol
_atom_site_fract_x
_atom_site_fract_y
_atom_site_fract_z
Sm1 Sm 0.000 0.000 0.000
Zn1 Zn 0.250 0.250 0.250
Cd1 Cd 0.000 0.000 0.500

=====

# Sr2CdSn, optimized geometry, DFT PBEsol
# Density (kg/m³): 5385
# Energy (eV per atom): -2.84
# Formation energy from the elements (eV/atom): -0.559
# Magnetic moment (μB/cell): 0.00
# DOS(E_F) (states/eV/atom): 0.1700
data_Sr2CdSn
_cell_length_a 7.943
_cell_length_b 7.943
_cell_length_c 7.943
_cell_angle_alpha 90.00
_cell_angle_beta 90.00
_cell_angle_gamma 90.00
_space_group_name_H-M_alt 'F m -3 m'
_space_group_IT_number 225
_space_group_name_Hall '-F 4 2 3'
loop_
_atom_site_label
_atom_site_type_symbol
_atom_site_fract_x
_atom_site_fract_y
_atom_site_fract_z
Sr1 Sr 0.250 0.250 0.250
Cd1 Cd 0.000 0.000 0.000
Sn1 Sn 0.000 0.000 0.500

=====

# SrTi2CdSn, optimized geometry, DFT PBEsol
# Density (kg/m³): 4713
# Energy (eV per atom): -4.15
# Formation energy from the elements (eV/atom): 0.634
# Magnetic moment (μB/cell): 3.58
# DOS(E_F) (states/eV/atom): 1.3528
data_SrTi2CdSn
_cell_length_a 5.216
_cell_length_b 5.216
_cell_length_c 5.368
_cell_angle_alpha 90.00
_cell_angle_beta 90.00
_cell_angle_gamma 90.00
_space_group_name_H-M_alt 'P 4/m m m'
_space_group_IT_number 123
_space_group_name_Hall '-P 4 2'
loop_
_atom_site_label
_atom_site_type_symbol
_atom_site_fract_x
_atom_site_fract_y
_atom_site_fract_z
Sr1 Sr 0.000 0.000 0.000
Ti1 Ti 0.000 0.500 0.500
Cd1 Cd 0.500 0.500 0.000
Sn1 Sn 0.500 0.500 0.500

=====

# CdSnTe2, optimized geometry, DFT PBEsol
# Density (kg/m³): 7641
# Energy (eV per atom): -3.16
# Magnetic moment (μB/cell): 0.00
# DOS(E_F) (states/eV/atom): 0.6089
data_CdSnTe2
_cell_length_a 7.505
_cell_length_b 7.505
_cell_length_c 7.505
_cell_angle_alpha 90.00
_cell_angle_beta 90.00
_cell_angle_gamma 90.00
_space_group_name_H-M_alt 'F m -3 m'
_space_group_IT_number 225
_space_group_name_Hall '-F 4 2 3'
loop_
_atom_site_label
_atom_site_type_symbol
_atom_site_fract_x
_atom_site_fract_y
_atom_site_fract_z
Cd1 Cd 0.000 0.000 0.000
Sn1 Sn 0.000 0.000 0.500
Te1 Te 0.250 0.250 0.250

=====

# CdSnTe2, optimized geometry, DFT PBEsol
# Density (kg/m³): 7009
# Energy (eV per atom): -3.40
# Magnetic moment (μB/cell): 0.00
# DOS(E_F) (states/eV/atom): 0.3444
data_CdSnTe2
_cell_length_a 4.3567
_cell_length_b 4.3567
_cell_length_c 21.0279
_cell_angle_alpha 90.00
_cell_angle_beta 90.00
_cell_angle_gamma 120.00
_space_group_name_H-M_alt 'R -3 m'
_space_group_IT_number 166
_space_group_name_Hall '-R 3 2"'
loop_
_atom_site_label
_atom_site_type_symbol
_atom_site_fract_x
_atom_site_fract_y
_atom_site_fract_z
Cd1 Cd 0.0000 0.0000 0.0000
Sn1 Sn 0.0000 0.0000 0.5000
Te1 Te 0.0000 0.0000 0.2541

=====

# CdSnTe3, optimized geometry, DFT PBEsol
# Density (kg/m³): 6225
# Energy (eV per atom): -2.82
# Magnetic moment (μB/cell): 0.00
# DOS(E_F) (states/eV/atom): 0.7204
data_CdSnTe3
_cell_length_a 5.471
_cell_length_b 5.471
_cell_length_c 5.471
_cell_angle_alpha 90.00
_cell_angle_beta 90.00
_cell_angle_gamma 90.00
_space_group_name_H-M_alt 'P m -3 m'
_space_group_IT_number 221
_space_group_name_Hall '-P 4 2 3'
loop_
_atom_site_label
_atom_site_type_symbol
_atom_site_fract_x
_atom_site_fract_y
_atom_site_fract_z
Cd1 Cd 0.000 0.000 0.000
Sn1 Sn 0.500 0.500 0.500
Te1 Te 0.000 0.000 0.500

=====

# Tl2CdSnTe4, optimized geometry, DFT PBEsol
# Density (kg/m³): 7712
# Energy (eV per atom): -3.37
# Magnetic moment (μB/cell): 0.00
# DOS(E_F) (states/eV/atom): 0.0185
data_Tl2CdSnTe4
_cell_length_a 8.352
_cell_length_b 8.352
_cell_length_c 7.101
_cell_angle_alpha 90.00
_cell_angle_beta 90.00
_cell_angle_gamma 90.00
_space_group_name_H-M_alt 'I -4 2 m'
_space_group_IT_number 121
_space_group_name_Hall 'I -4 2'
loop_
_atom_site_label
_atom_site_type_symbol
_atom_site_fract_x
_atom_site_fract_y
_atom_site_fract_z
Tl1 Tl 0.000 0.500 0.000
Cd1 Cd 0.000 0.000 0.000
Sn1 Sn 0.000 0.000 0.500
Te1 Te 0.186 0.186 0.743

=====

# Tl2CdSn, optimized geometry, DFT PBEsol
# Density (kg/m³): 10129
# Energy (eV per atom): -2.61
# Formation energy from the elements (eV/atom): 0.070
# Magnetic moment (μB/cell): 0.00
# DOS(E_F) (states/eV/atom): 0.4653
data_Tl2CdSn
_cell_length_a 7.486
_cell_length_b 7.486
_cell_length_c 7.486
_cell_angle_alpha 90.00
_cell_angle_beta 90.00
_cell_angle_gamma 90.00
_space_group_name_H-M_alt 'F m -3 m'
_space_group_IT_number 225
_space_group_name_Hall '-F 4 2 3'
loop_
_atom_site_label
_atom_site_type_symbol
_atom_site_fract_x
_atom_site_fract_y
_atom_site_fract_z
Tl1 Tl 0.250 0.250 0.250
Cd1 Cd 0.000 0.000 0.000
Sn1 Sn 0.000 0.000 0.500

=====

# Tl2Cd2Sn, optimized geometry, DFT PBEsol
# Density (kg/m³): 9615
# Energy (eV per atom): -2.30
# Formation energy from the elements (eV/atom): 0.086
# Magnetic moment (μB/cell): 0.00
# DOS(E_F) (states/eV/atom): 0.5569
data_Tl2Cd2Sn
_cell_length_a 7.712
_cell_length_b 7.712
_cell_length_c 4.369
_cell_angle_alpha 90.00
_cell_angle_beta 90.00
_cell_angle_gamma 90.00
_space_group_name_H-M_alt 'P 4/m b m'
_space_group_IT_number 127
_space_group_name_Hall '-P 4 2ab'
loop_
_atom_site_label
_atom_site_type_symbol
_atom_site_fract_x
_atom_site_fract_y
_atom_site_fract_z
Tl1 Tl 0.172 0.328 0.000
Cd1 Cd 0.132 0.632 0.500
Sn1 Sn 0.000 0.000 0.500

=====

# TlCdSn2, optimized geometry, DFT PBEsol
# Density (kg/m³): 8672
# Energy (eV per atom): -3.01
# Formation energy from the elements (eV/atom): 0.080
# Magnetic moment (μB/cell): 0.00
# DOS(E_F) (states/eV/atom): 0.4724
data_TlCdSn2
_cell_length_a 4.344
_cell_length_b 4.344
_cell_length_c 22.493
_cell_angle_alpha 90.00
_cell_angle_beta 90.00
_cell_angle_gamma 90.00
_space_group_name_H-M_alt 'I -4 2 d'
_space_group_IT_number 122
_space_group_name_Hall 'I -4 2bw'
loop_
_atom_site_label
_atom_site_type_symbol
_atom_site_fract_x
_atom_site_fract_y
_atom_site_fract_z
Tl1 Tl 0.000 0.000 0.000
Cd1 Cd 0.000 0.000 0.500
Sn1 Sn 0.246 0.250 0.625

=====

# Sr2Cd, optimized geometry, DFT PBEsol
# Density (kg/m³): 3966
# Energy (eV per atom): -1.79
# Formation energy from the elements (eV/atom): -0.166
# Magnetic moment (μB/cell): 0.00
# DOS(E_F) (states/eV/atom): 0.9987
data_Sr2Cd
_cell_length_a 4.195
_cell_length_b 14.718
_cell_length_c 7.804
_cell_angle_alpha 90.00
_cell_angle_beta 90.00
_cell_angle_gamma 90.00
_space_group_name_H-M_alt 'C m c 21'
_space_group_IT_number 36
loop_
_space_group_symop_operation_xyz
'x,y,z'
'-x,-y,z+1/2'
'-x,y,z'
'x,-y,z+1/2'
'x+1/2,y+1/2,z'
'-x+1/2,-y+1/2,z+1/2'
'-x+1/2,y+1/2,z'
'x+1/2,-y+1/2,z+1/2'
loop_
_atom_site_label
_atom_site_type_symbol
_atom_site_fract_x
_atom_site_fract_y
_atom_site_fract_z
Sr1 Sr 0.000 0.025 0.000
Sr2 Sr 0.000 0.288 0.819
Cd1 Cd 0.000 0.384 0.213